1.
Ag2PF4 | PBE-GGA | optimized geometry

Summary:
space-group type = I4/mmm, No. 139
crystal system = tetragonal

a b c (Å): 3.8184 3.8184 9.2358
angles (deg): 78.07 78.07 90.00
Sites, in units of the cell vectors:
F 0.9042 0.9042 0.1916
Ag 0.2700 0.2700 0.4600
F 0.5000 0.0000 0.0000
F 0.0000 0.5000 0.0000
Ag 0.7300 0.7300 0.5400
F 0.0958 0.0958 0.8084
P 0.0000 0.0000 0.0000

---

2.
AgP3F | PBE-GGA | optimized geometry

Summary:
space-group type = Pm-3m, No. 221
crystal system = cubic

a b c (Å): 4.4076 4.4076 4.4076
angles (deg): 90.00 90.00 90.00
Sites, in units of the cell vectors:
P 0.0000 0.0000 0.5000
P 0.0000 0.5000 0.0000
F 0.0000 0.0000 0.0000
P 0.5000 0.0000 0.0000
Ag 0.5000 0.5000 0.5000

---

3.
AgPF2 | PBE-GGA | optimized geometry

Summary:
space-group type = I-42d, No. 122
crystal system = tetragonal

a b c (Å): 3.8516 3.8516 7.9890
angles (deg): 76.05 76.05 90.00
Sites, in units of the cell vectors:
P 0.2500 0.7500 0.5000
Ag 0.0000 0.0000 0.0000
F 0.1745 0.6250 0.2500
F 0.3750 0.4245 0.7500
F 0.5755 0.1250 0.2500
Ag 0.7500 0.2500 0.5000
F 0.8750 0.8255 0.7500
P 0.5000 0.5000 0.0000

---

4.
Ag2PF6 | PBE-GGA | optimized geometry

Summary:
space-group type = P4_2/mnm, No. 136
crystal system = tetragonal

a b c (Å): 5.8898 5.8898 9.7365
angles (deg): 90.00 90.00 90.00
Sites, in units of the cell vectors:
F 0.8042 0.8042 0.5000
F 0.6402 0.6402 0.8795
Ag 0.5000 0.5000 0.6383
Ag 0.0000 0.0000 0.8617
F 0.6402 0.6402 0.1205
F 0.3598 0.3598 0.1205
P 0.5000 0.5000 0.0000
F 0.1402 0.8598 0.6205
F 0.1958 0.1958 0.5000
F 0.3598 0.3598 0.8795
F 0.8598 0.1402 0.6205
Ag 0.0000 0.0000 0.1383
F 0.1402 0.8598 0.3795
F 0.6958 0.3042 0.0000
F 0.8598 0.1402 0.3795
P 0.0000 0.0000 0.5000
Ag 0.5000 0.5000 0.3617
F 0.3042 0.6958 0.0000

---

5.
AgPF6 | PBE-GGA | optimized geometry

Summary:
space-group type = P-1, No. 2
crystal system = triclinic

a b c (Å): 5.2143 5.2265 5.6447
angles (deg): 62.64 62.51 59.95
Sites, in units of the cell vectors:
F 0.9671 0.6635 0.1979
F 0.0329 0.3365 0.8021
F 0.1727 0.9678 0.1978
F 0.3384 0.8266 0.8022
Ag 0.5000 0.5000 0.5000
F 0.8273 0.0322 0.8022
P 0.0000 0.0000 0.0000
F 0.6616 0.1734 0.1978

---

6.
Ag2PF6 | PBE-GGA | optimized geometry

Summary:
space-group type = C2/c, No. 15
crystal system = monoclinic

a b c (Å): 4.5314 8.1851 8.1851
angles (deg): 118.05 84.25 84.25
Sites, in units of the cell vectors:
Ag 0.9517 0.5501 0.6853
F 0.0128 0.1717 0.9996
Ag 0.5483 0.3147 0.4499
F 0.4872 0.0004 0.8283
F 0.0136 0.3309 0.8285
F 0.4864 0.1715 0.6691
F 0.5136 0.8285 0.3309
F 0.0975 0.0050 0.6727
F 0.5975 0.6727 0.0050
P 0.2500 0.1680 0.8320
P 0.7500 0.8320 0.1680
F 0.9864 0.6691 0.1715
F 0.9025 0.9950 0.3273
Ag 0.0483 0.4499 0.3147
Ag 0.4517 0.6853 0.5501
F 0.5128 0.9996 0.1717
F 0.9872 0.8283 0.0004
F 0.4025 0.3273 0.9950

---

7.
AgPF2 | PBE-GGA | optimized geometry

Summary:
space-group type = R-3m, No. 166
crystal system = trigonal

a b c (Å): 8.2119 8.2119 8.2119
angles (deg): 19.80 19.80 19.80
Sites, in units of the cell vectors:
F 0.0947 0.0947 0.0947
P 0.5000 0.5000 0.5000
Ag 0.0000 0.0000 0.0000
F 0.9053 0.9053 0.9053

---

8.
Ag2PF8 | PBE-GGA | optimized geometry

Summary:
space-group type = P-3m1, No. 164
crystal system = trigonal

a b c (Å): 4.2726 6.6402 6.6402
angles (deg): 120.00 90.00 90.00
Sites, in units of the cell vectors:
Ag 0.2851 0.6667 0.3333
F 0.7201 0.1165 0.8835
F 0.2799 0.8835 0.1165
Ag 0.7149 0.3333 0.6667
F 0.7852 0.6667 0.3333
F 0.2799 0.8835 0.7669
F 0.7201 0.7669 0.8835
F 0.2799 0.2331 0.1165
F 0.7201 0.1165 0.2331
P 0.5000 0.0000 0.0000
F 0.2148 0.3333 0.6667

---

9.
AgP3F | PBE-GGA | optimized geometry

Summary:
space-group type = Pm-3m, No. 221
crystal system = cubic

a b c (Å): 4.8229 4.8229 4.8229
angles (deg): 90.00 90.00 90.00
Sites, in units of the cell vectors:
P 0.5000 0.0000 0.0000
Ag 0.0000 0.0000 0.0000
P 0.0000 0.5000 0.0000
F 0.5000 0.5000 0.5000
P 0.0000 0.0000 0.5000

---

10.
Ag2PF | PBE-GGA | optimized geometry

Summary:
space-group type = Fm-3m, No. 225
crystal system = cubic

a b c (Å): 4.4159 4.4159 4.4159
angles (deg): 60.00 60.00 60.00
Sites, in units of the cell vectors:
P 0.5000 0.5000 0.5000
Ag 0.7500 0.7500 0.7500
F 0.0000 0.0000 0.0000
Ag 0.2500 0.2500 0.2500

---

11.
AgPF5 | PBE-GGA | optimized geometry

Summary:
space-group type = C2/c, No. 15
crystal system = monoclinic

a b c (Å): 5.4713 5.4713 9.5584
angles (deg): 60.32 60.32 78.50
Sites, in units of the cell vectors:
P 0.5000 0.0000 0.5000
F 0.7598 0.7607 0.0144
F 0.2402 0.2393 0.9856
F 0.3892 0.8317 0.4294
P 0.0000 0.5000 0.0000
F 0.7607 0.7598 0.5144
Ag 0.7607 0.2393 0.7500
F 0.8317 0.3892 0.9294
F 0.6108 0.1683 0.5706
F 0.7579 0.2421 0.2500
F 0.2393 0.2402 0.4856
F 0.1683 0.6108 0.0706
F 0.2421 0.7579 0.7500
Ag 0.2393 0.7607 0.2500

---

12.
Ag12P3F5 | PBE-GGA | optimized geometry

Summary:
space-group type = Ia-3d, No. 230
crystal system = cubic

a b c (Å): 12.5316 12.5316 12.5316
angles (deg): 109.47 109.47 109.47
Sites, in units of the cell vectors:
Ag 0.1069 0.1771 0.2355
P 0.2500 0.6250 0.8750
Ag 0.7355 0.1286 0.0584
P 0.7500 0.8750 0.6250
Ag 0.4416 0.6771 0.0701
F 0.1250 0.7500 0.3750
Ag 0.5584 0.3229 0.9299
Ag 0.8931 0.8229 0.7645
F 0.7500 0.6250 0.3750
Ag 0.9416 0.3714 0.2645
Ag 0.4299 0.3714 0.6069
P 0.1250 0.8750 0.7500
F 0.3750 0.2500 0.1250
F 0.1250 0.3750 0.2500
F 0.8750 0.2500 0.6250
Ag 0.3714 0.4299 0.1069
Ag 0.0701 0.1771 0.4416
Ag 0.0701 0.8931 0.1286
Ag 0.6069 0.7355 0.6771
Ag 0.2355 0.5584 0.6286
Ag 0.7645 0.3229 0.8931
Ag 0.3229 0.7645 0.3931
Ag 0.1771 0.0701 0.9416
F 0.0000 0.0000 0.0000
F 0.8750 0.6250 0.7500
F 0.2500 0.3750 0.6250
Ag 0.9416 0.5701 0.1771
Ag 0.6771 0.2355 0.6069
Ag 0.7355 0.6069 0.1771
P 0.8750 0.1250 0.2500
P 0.6250 0.3750 0.7500
Ag 0.3931 0.1286 0.5701
Ag 0.3229 0.5584 0.4299
Ag 0.0584 0.6286 0.7355
Ag 0.4416 0.7645 0.8714
P 0.3750 0.7500 0.6250
Ag 0.9299 0.8229 0.5584
Ag 0.5701 0.9416 0.6771
Ag 0.0584 0.4299 0.8229
Ag 0.9299 0.1069 0.8714
Ag 0.3714 0.9416 0.7645
F 0.0000 0.5000 0.0000
F 0.0000 0.0000 0.5000
Ag 0.8229 0.9299 0.0584
P 0.1250 0.2500 0.8750
P 0.3750 0.6250 0.2500
P 0.6250 0.2500 0.3750
F 0.6250 0.7500 0.8750
Ag 0.6286 0.0584 0.2355
Ag 0.5584 0.2355 0.1286
Ag 0.8714 0.2645 0.4416
Ag 0.8931 0.0701 0.6286
Ag 0.6771 0.4416 0.5701
F 0.3750 0.1250 0.7500
Ag 0.8229 0.8931 0.2645
P 0.2500 0.1250 0.3750
Ag 0.5701 0.6286 0.3931
Ag 0.1286 0.3931 0.0701
F 0.5000 0.0000 0.0000
Ag 0.6069 0.8714 0.4299
F 0.5000 0.5000 0.0000
Ag 0.1771 0.1069 0.7355
P 0.8750 0.7500 0.1250
P 0.7500 0.3750 0.1250
F 0.2500 0.8750 0.1250
Ag 0.6286 0.5701 0.8931
F 0.7500 0.1250 0.8750
F 0.0000 0.5000 0.5000
F 0.5000 0.5000 0.5000
Ag 0.8714 0.6069 0.9299
Ag 0.1286 0.7355 0.5584
Ag 0.7645 0.4416 0.3714
Ag 0.3931 0.2645 0.3229
Ag 0.2645 0.8714 0.9416
F 0.5000 0.0000 0.5000
Ag 0.2355 0.6771 0.1069
Ag 0.1069 0.9299 0.3714
F 0.6250 0.8750 0.2500
Ag 0.4299 0.0584 0.3229
Ag 0.2645 0.3931 0.8229

---

Number 1: formation energy without anion corrections -116.94 kJ/mol of atoms. Number 2: formation energy without anion corrections 80.30 kJ/mol of atoms. Number 3: formation energy without anion corrections -55.12 kJ/mol of atoms. Number 4: formation energy without anion corrections -171.08 kJ/mol of atoms. Number 5: formation energy without anion corrections -214.73 kJ/mol of atoms. Number 6: formation energy without anion corrections -187.08 kJ/mol of atoms. Number 7: formation energy without anion corrections -51.65 kJ/mol of atoms. Number 8: formation energy without anion corrections -180.20 kJ/mol of atoms. Number 9: formation energy without anion corrections 113.30 kJ/mol of atoms. Number 10: formation energy without anion corrections -14.65 kJ/mol of atoms. Number 11: formation energy without anion corrections -170.93 kJ/mol of atoms. Number 12: formation energy without anion corrections -36.38 kJ/mol of atoms.